Record 1
! PBE-GGA CaP2WN6, relaxed; values from VASP
&SYSTEM
  ibrav = 0, nat = 20, ntyp = 4
/
ATOMIC_SPECIES
Ca 40.08 Ca.upf
P 30.97 P.upf
W 183.84 W.upf
N 14.01 N.upf
CELL_PARAMETERS angstrom
5.5044 0.0380 0.0395
1.8107 6.9933 -0.2327
1.8107 -0.4917 6.9799
ATOMIC_POSITIONS angstrom
Ca 3.1868 6.2172 0.5342
Ca 5.9390 0.3224 6.2525
P 4.1940 5.0692 4.2112
P 2.1796 2.5002 1.5451
P 4.9318 1.4704 2.5755
P 6.9462 4.0395 5.2415
W 3.1868 1.2174 5.3520
W 5.9390 5.3223 1.4346
N 4.2462 6.4898 5.1115
N 2.1274 1.6532 0.0922
N 4.8796 0.0499 1.6752
N 6.9984 4.8865 6.6945
N 4.5235 5.4187 2.6279
N 1.8501 4.0953 1.2546
N 4.6023 1.1210 4.1587
N 7.2757 2.4443 5.5321
N 2.6407 4.6159 4.3001
N 3.7329 2.3946 1.9948
N 6.4851 1.9237 2.4866
N 5.3929 4.1451 4.7919
! Fermi-level density of states = 0.0000 states/eV/atom
! Energy relative to the elements, uncorrected = -490 meV/atom
! Volume = 133.5 Å³/f.u.
! Total magnetization = 0.00 μB per cell



Record 2
! PBE-GGA RbNb4Te8, relaxed; values from VASP
&SYSTEM
  ibrav = 0, nat = 13, ntyp = 3
/
ATOMIC_SPECIES
Rb 85.47 Rb.upf
Nb 92.91 Nb.upf
Te 127.60 Te.upf
CELL_PARAMETERS angstrom
-3.6121 0.4856 -0.6830
-3.0573 -9.1717 -0.4174
-3.7931 -0.3804 9.7242
ATOMIC_POSITIONS angstrom
Rb -5.5354 -0.1334 9.0484
Nb -5.5570 -7.8111 3.7044
Nb -7.6788 -4.4630 7.2404
Nb -2.6563 -4.5942 0.7164
Nb -4.7780 -1.2458 4.2518
Te -2.9794 -3.2616 3.3724
Te -4.9102 -5.9958 1.5742
Te -5.4249 -3.0610 6.3827
Te -7.3558 -5.7957 4.5845
Te -7.2147 -8.8496 1.6673
Te -6.2501 -6.6380 8.2037
Te -3.1203 -0.2074 6.2888
Te -4.0852 -2.4193 -0.2464
! Fermi-level density of states = 0.6805 states/eV/atom
! Energy relative to the elements, uncorrected = -458 meV/atom
! Volume = 360.9 Å³/f.u.
! Total magnetization = 0.00 μB per cell